No. 1
The following is a SCAN calculation of a crystal of CsBaSe2Br relaxed with PBEsol, from Alexandria via LeMat-Bulk.

Lattice parameters (Å, degrees): 5.7038 5.7038 6.2015 90.00 90.00 90.00
Closest atoms and distances in Å follow each position.
Fractional positions:
Se (0.0000, 0.5000, 0.0000)  2 Cs 2.85
Se (0.5000, 0.0000, 0.0000)  2 Cs 2.85
Br (0.0000, 0.0000, 0.5000)  2 Cs 3.10
Ba (0.5000, 0.5000, 0.5000)  4 Br 4.03, 8 Se 4.21
Cs (0.0000, 0.0000, 0.0000)  4 Se 2.85, 2 Br 3.10

Values from the calculation:
VASP energy	-28.083	eV per atom
formation energy (no corrections)	-688	meV per atom
space-group type	No. 123
magnetization	0.0	μB/cell

***

No. 2
The following is a SCAN calculation of a crystal of MgCu2Cl relaxed with PBEsol, from Alexandria via LeMat-Bulk.

Lattice parameters (Å, degrees): 4.5128 4.5128 4.5128 60.00 60.00 60.00
Closest atoms and distances in Å follow each position.
Fractional positions:
Cu (0.7500, 0.7500, 0.7500)  4 Mg 2.76, 4 Cl 2.76
Cu (0.2500, 0.2500, 0.2500)  4 Cl 2.76, 4 Mg 2.76
Mg (0.5000, 0.5000, 0.5000)  8 Cu 2.76
Cl (0.0000, 0.0000, 0.0000)  8 Cu 2.76

Values from the calculation:
VASP energy	-10.303	eV per atom
formation energy (no corrections)	535	meV per atom
space-group type	No. 225
magnetization	0.8	μB/cell

***

No. 3
The following is a SCAN calculation of a crystal of Cr3BI relaxed with PBEsol, from Alexandria via LeMat-Bulk.

Lattice parameters (Å, degrees): 4.9435 4.9435 4.9435 90.00 90.00 90.00
Closest atoms and distances in Å follow each position.
Fractional positions:
Cr (0.0000, 0.0000, 0.5000)  2 I 2.47
Cr (0.5000, 0.0000, 0.0000)  2 I 2.47
Cr (0.0000, 0.5000, 0.0000)  2 I 2.47
I (0.0000, 0.0000, 0.0000)  6 Cr 2.47
B (0.5000, 0.5000, 0.5000)  12 Cr 3.50

Values from the calculation:
VASP energy	-17.884	eV per atom
energy above the most stable polymorph in this dataset	1.263	eV/atom
formation energy (no corrections)	1981	meV per atom
space-group type	No. 221
magnetization	12.1	μB/cell

***

No. 4
The following is a SCAN calculation of a crystal of Ge3Rh2Se3 relaxed with PBEsol, from Alexandria via LeMat-Bulk.

Lattice parameters (Å, degrees): 8.5249 8.5249 8.5249 89.83 89.83 89.83
Closest atoms and distances in Å follow each position.
Fractional positions:
Se (0.0003, 0.8561, 0.3526)  2 Rh 2.47-2.49, 2 Ge 2.53-2.66
Se (0.3526, 0.0003, 0.8561)  2 Rh 2.47-2.49, 2 Ge 2.53-2.66
Se (0.8528, 0.5032, 0.6434)  2 Rh 2.46-2.50, 2 Ge 2.53-2.66
Se (0.5032, 0.6434, 0.8528)  2 Rh 2.46-2.50, 2 Ge 2.53-2.66
Se (0.6474, 0.9997, 0.1439)  2 Rh 2.47-2.49, 2 Ge 2.53-2.66
Se (0.1439, 0.6474, 0.9997)  2 Rh 2.47-2.49, 2 Ge 2.53-2.66
Se (0.6434, 0.8528, 0.5032)  2 Rh 2.46-2.50, 2 Ge 2.53-2.66
Se (0.3566, 0.1472, 0.4968)  2 Rh 2.46-2.50, 2 Ge 2.53-2.66
Se (0.8561, 0.3526, 0.0003)  2 Rh 2.47-2.49, 2 Ge 2.53-2.66
Se (0.9997, 0.1439, 0.6474)  2 Rh 2.47-2.49, 2 Ge 2.53-2.66
Se (0.4968, 0.3566, 0.1472)  2 Rh 2.46-2.50, 2 Ge 2.53-2.66
Se (0.1472, 0.4968, 0.3566)  2 Rh 2.46-2.50, 2 Ge 2.53-2.66
Rh (0.2520, 0.7487, 0.2482)  3 Ge 2.38-2.40, 3 Se 2.47-2.50
Rh (0.2482, 0.2520, 0.7487)  3 Ge 2.38-2.40, 3 Se 2.47-2.50
Rh (0.7480, 0.2513, 0.7518)  3 Ge 2.38-2.40, 3 Se 2.47-2.50
Rh (0.7518, 0.7480, 0.2513)  3 Ge 2.38-2.40, 3 Se 2.47-2.50
Rh (0.2513, 0.7518, 0.7480)  3 Ge 2.38-2.40, 3 Se 2.47-2.50
Rh (0.7515, 0.7515, 0.7515)  3 Ge 2.40, 3 Se 2.46
Rh (0.2485, 0.2485, 0.2485)  3 Ge 2.40, 3 Se 2.46
Rh (0.7487, 0.2482, 0.2520)  3 Ge 2.38-2.40, 3 Se 2.47-2.50
Ge (0.8480, 0.6650, 0.0022)  2 Rh 2.38-2.40, 2 Se 2.53-2.66
Ge (0.3475, 0.8354, 0.4981)  2 Rh 2.39-2.40, 2 Se 2.53-2.66
Ge (0.1646, 0.5019, 0.6525)  2 Rh 2.39-2.40, 2 Se 2.53-2.66
Ge (0.3350, 0.9978, 0.1520)  2 Rh 2.38-2.40, 2 Se 2.53-2.66
Ge (0.5019, 0.6525, 0.1646)  2 Rh 2.39-2.40, 2 Se 2.53-2.66
Ge (0.6525, 0.1646, 0.5019)  2 Rh 2.39-2.40, 2 Se 2.53-2.66
Ge (0.6650, 0.0022, 0.8480)  2 Rh 2.38-2.40, 2 Se 2.53-2.66
Ge (0.0022, 0.8480, 0.6650)  2 Rh 2.38-2.40, 2 Se 2.53-2.66
Ge (0.4981, 0.3475, 0.8354)  2 Rh 2.39-2.40, 2 Se 2.53-2.66
Ge (0.1520, 0.3350, 0.9978)  2 Rh 2.38-2.40, 2 Se 2.53-2.66
Ge (0.8354, 0.4981, 0.3475)  2 Rh 2.39-2.40, 2 Se 2.53-2.66
Ge (0.9978, 0.1520, 0.3350)  2 Rh 2.38-2.40, 2 Se 2.53-2.66

Values from the calculation:
VASP energy	-23.705	eV per atom
formation energy (no corrections)	-575	meV per atom
space-group type	No. 148
magnetization	0.0	μB/cell

***

No. 5
The following is a SCAN calculation of a crystal of LiZr2Br relaxed with PBEsol, from Alexandria via LeMat-Bulk.

Lattice parameters (Å, degrees): 3.9880 3.9880 5.5952 110.88 110.88 90.00
Closest atoms and distances in Å follow each position.
Fractional positions:
Br (0.5000, 0.5000, 0.0000)  8 Zr 2.82-3.13, 4 Li 3.13
Li (0.2500, 0.7500, 0.5000)  8 Zr 2.82-3.13, 4 Br 3.13
Zr (0.0000, 0.0000, 0.0000)  4 Br 2.82, 4 Zr 3.13, 4 Li 3.13
Zr (0.7500, 0.2500, 0.5000)  4 Li 2.82, 4 Br 3.13, 4 Zr 3.13

Values from the calculation:
VASP energy	-20.562	eV per atom
energy above the most stable polymorph in this dataset	0.671	eV/atom
formation energy (no corrections)	250	meV per atom
space-group type	No. 119
magnetization	0.0	μB/cell

***

No. 6
The following is a SCAN calculation of a crystal of Be2SiNi relaxed with PBEsol, from Alexandria via LeMat-Bulk.

Lattice parameters (Å, degrees): 3.3395 3.3395 4.1590 113.67 113.67 90.00
Closest atoms and distances in Å follow each position.
Fractional positions:
Be (0.7500, 0.2500, 0.5000)  4 Be 2.36, 4 Ni 2.39, 4 Si 2.39
Be (0.2500, 0.7500, 0.5000)  4 Be 2.36, 4 Si 2.39, 4 Ni 2.39
Ni (0.0000, 0.0000, 0.0000)  4 Si 2.36, 8 Be 2.39
Si (0.5000, 0.5000, 0.0000)  4 Ni 2.36, 8 Be 2.39

Values from the calculation:
VASP energy	-8.967	eV per atom
formation energy (no corrections)	-243	meV per atom
space-group type	No. 139
magnetization	0.0	μB/cell

***

No. 7
The following is a SCAN calculation of a crystal of YCu2Re2 relaxed with PBEsol, from Alexandria via LeMat-Bulk.

Lattice parameters (Å, degrees): 4.1002 4.1002 5.8751 110.42 110.42 90.00
Closest atoms and distances in Å follow each position.
Fractional positions:
Cu (0.7500, 0.2500, 0.5000)  4 Re 2.49
Cu (0.2500, 0.7500, 0.5000)  4 Re 2.49
Y (0.0000, 0.0000, 0.0000)  8 Re 3.11, 8 Cu 3.28
Re (0.6111, 0.6111, 0.2222)  1 Re 2.27, 4 Cu 2.49
Re (0.3889, 0.3889, 0.7778)  1 Re 2.27, 4 Cu 2.49

Values from the calculation:
VASP energy	-39.787	eV per atom
energy of formation from the pure elements	0.301	eV per atom
space-group type	No. 139
magnetization	0.0	μB/cell

***

No. 8
The following is a SCAN calculation of a crystal of CuP2O6 relaxed with PBEsol, from Alexandria via LeMat-Bulk.

Lattice parameters (Å, degrees): 4.9749 6.5805 6.5805 84.11 75.73 75.73
Closest atoms and distances in Å follow each position.
Fractional positions:
P (0.2554, 0.6227, 0.8072)  4 O 1.49-1.61
P (0.2446, 0.1928, 0.3773)  4 O 1.49-1.61
P (0.7446, 0.3773, 0.1928)  4 O 1.49-1.61
P (0.7554, 0.8072, 0.6227)  4 O 1.49-1.61
Cu (0.7500, 0.8871, 0.1129)  6 O 1.98-2.19
Cu (0.2500, 0.1129, 0.8871)  6 O 1.98-2.19
O (0.3084, 0.4040, 0.8981)  1 P 1.49
O (0.9604, 0.3561, 0.3436)  2 P 1.60-1.61
O (0.6509, 0.9558, 0.8033)  1 P 1.52
O (0.6916, 0.5960, 0.1019)  1 P 1.49
O (0.1916, 0.1019, 0.5960)  1 P 1.49
O (0.8084, 0.8981, 0.4040)  1 P 1.49
O (0.8491, 0.1967, 0.0442)  1 P 1.52
O (0.1509, 0.8033, 0.9558)  1 P 1.52
O (0.0396, 0.6439, 0.6564)  2 P 1.60-1.61
O (0.4604, 0.3436, 0.3561)  2 P 1.60-1.61
O (0.3491, 0.0442, 0.1967)  1 P 1.52
O (0.5396, 0.6564, 0.6439)  2 P 1.60-1.61

Values from the calculation:
VASP energy	-10.187	eV per atom
formation energy (no corrections)	-2034	meV per atom
space-group type	No. 15
magnetization	2.0	μB/cell

***

No. 9
The following is a SCAN calculation of a crystal of NbSiF2 relaxed with PBEsol, from Alexandria via LeMat-Bulk.

Lattice parameters (Å, degrees): 4.9671 5.7315 5.7315 79.18 64.32 64.32
Closest atoms and distances in Å follow each position.
Fractional positions:
Nb (0.7500, 0.5000, 0.5000)  4 F 2.11
Nb (0.0000, 0.0000, 0.0000)  4 F 2.11
F (0.8750, 0.1321, 0.3679)  2 Nb 2.11
F (0.3750, 0.8679, 0.6321)  2 Nb 2.11
F (0.7571, 0.3679, 0.8679)  2 Nb 2.11
F (0.9929, 0.6321, 0.1321)  2 Nb 2.11
Si (0.2500, 0.5000, 0.5000)  2 Nb 2.48, 4 F 2.75
Si (0.5000, 0.0000, 0.0000)  2 Nb 2.48, 4 F 2.75

Values from the calculation:
VASP energy	-13.537	eV per atom
formation energy (no corrections)	-980	meV per atom
space-group type	No. 122
magnetization	0.0	μB/cell

***

No. 10
The following is a SCAN calculation of a crystal of FeSiSe2 relaxed with PBEsol, from Alexandria via LeMat-Bulk.

Lattice parameters (Å, degrees): 3.0739 3.0739 6.6428 90.00 90.00 90.00
Closest atoms and distances in Å follow each position.
Fractional positions:
Fe (0.5000, 0.5000, 0.5000)  8 Se 2.63
Se (0.0000, 0.0000, 0.2782)  4 Fe 2.63, 4 Si 2.85
Se (0.0000, 0.0000, 0.7218)  4 Fe 2.63, 4 Si 2.85
Si (0.5000, 0.5000, 0.0000)  8 Se 2.85, 4 Si 3.07

Values from the calculation:
VASP energy	-16.620	eV per atom
formation energy (no corrections)	455	meV per atom
space-group type	No. 123
magnetization	2.9	μB/cell

***

No. 11
The following is a SCAN calculation of a crystal of ZnFe2 relaxed with PBEsol, from Alexandria via LeMat-Bulk.

Lattice parameters (Å, degrees): 2.4382 4.9617 6.1670 104.39 90.00 104.22
Closest atoms and distances in Å follow each position.
Fractional positions:
Fe (0.3663, 0.7325, 0.9807)  9 Fe 2.44-2.61, 3 Zn 2.51-2.58
Fe (0.6337, 0.2675, 0.0193)  9 Fe 2.44-2.61, 3 Zn 2.51-2.58
Fe (0.9703, 0.9406, 0.6922)  7 Fe 2.44-2.58, 5 Zn 2.56-2.60
Fe (0.0297, 0.0594, 0.3078)  7 Fe 2.44-2.58, 5 Zn 2.56-2.60
Zn (0.3039, 0.6079, 0.3513)  4 Zn 2.44-2.63, 8 Fe 2.51-2.60
Zn (0.6961, 0.3921, 0.6487)  4 Zn 2.44-2.63, 8 Fe 2.51-2.60

Values from the calculation:
VASP energy	-16.557	eV per atom
energy of formation from the pure elements	0.034	eV per atom
space-group type	No. 12
magnetization	10.2	μB/cell

***

No. 12
The following is a SCAN calculation of a crystal of SrPtWSe2 relaxed with PBEsol, from Alexandria via LeMat-Bulk.

Lattice parameters (Å, degrees): 5.6164 5.3303 5.3303 90.00 90.00 90.00
Closest atoms and distances in Å follow each position.
Fractional positions:
Se (0.0000, 0.0000, 0.5000)  2 Sr 2.67
Se (0.0000, 0.5000, 0.0000)  2 Sr 2.67
Sr (0.0000, 0.0000, 0.0000)  4 Se 2.67, 2 W 2.81
Pt (0.5000, 0.5000, 0.5000)  4 W 3.77, 8 Se 3.87
W (0.5000, 0.0000, 0.0000)  2 Sr 2.81

Values from the calculation:
VASP energy	-38.175	eV per atom
formation energy (no corrections)	2287	meV per atom
space-group type	No. 123
magnetization	3.4	μB/cell